No. 1
This record from Alexandria via LeMat-Bulk describes a relaxed structure of AcSm2ErTm5. The functional is PBE.

Final energy (eV/atom): -4.23

Structure (CIF):
```
data_AcSm2ErTm5
_chemical_formula_sum 'Ac4 Sm8 Er4 Tm20'
_symmetry_space_group_name_H-M 'I 4/m c m'
_symmetry_Int_Tables_number 140
_symmetry_space_group_name_Hall '-I 4 2c'
_cell_length_a 8.834
_cell_length_b 8.834
_cell_length_c 15.203
_cell_angle_alpha 90.00
_cell_angle_beta 90.00
_cell_angle_gamma 90.00
loop_
_atom_site_label
_atom_site_fract_x
_atom_site_fract_y
_atom_site_fract_z
Ac1 0.000 0.000 0.250
Sm1 0.115 0.385 0.000
Er1 0.000 0.500 0.250
Tm1 0.000 0.000 0.000
Tm2 0.206 0.294 0.369
```

=====

No. 2
This record from Alexandria via LeMat-Bulk describes a relaxed structure of Li2Nd2Pd15. The functional is PBE.

Final energy (eV/atom): -5.22

Structure (CIF):
```
data_Li2Nd2Pd15
_chemical_formula_sum 'Li6 Nd6 Pd45'
_symmetry_space_group_name_H-M 'R -3 m'
_symmetry_Int_Tables_number 166
_symmetry_space_group_name_Hall '-R 3 2"'
_cell_length_a 9.1466
_cell_length_b 9.1466
_cell_length_c 13.7014
_cell_angle_alpha 90.00
_cell_angle_beta 90.00
_cell_angle_gamma 120.00
loop_
_atom_site_label
_atom_site_fract_x
_atom_site_fract_y
_atom_site_fract_z
Li1 0.0000 0.0000 0.0943
Nd1 0.0000 0.0000 0.3439
Pd1 0.0000 0.3125 0.0000
Pd2 0.0000 0.5000 0.5000
Pd3 0.0018 0.5009 0.1582
```

=====

no.,theoretical density (g/cm3)
1,8.620
2,9.528